The following is a PBE-GGA calculation of a geometry-optimized Ac2ZnGe4Pd3 structure, from Alexandria via LeMat-Bulk.

Geometry as extended XYZ:
```
10
Lattice="-1.513 3.952 -1.434 -1.923 0.704 3.972 8.713 4.572 3.408" Properties=species:S:1:pos:R:3 pbc="T T T"
Ac 1.416 3.117 0.133
Ac 5.579 3.784 4.544
Zn 2.638 4.615 2.973
Ge -1.718 2.328 1.269
Ge 0.000 0.000 0.000
Ge 4.743 4.862 1.434
Ge 2.252 2.038 3.243
Pd 4.357 2.286 1.704
Pd 6.879 5.983 2.270
Pd 0.116 0.917 2.407
```

* V: 207.9 Å³ per cell
* E: -51.1 eV per cell